Entry 1:
The following is a GGA-PBE calculation of a relaxed Tl2FeP crystal, from Alexandria via LeMat-Bulk.

Calculated values
Energy of formation from the pure elements in meV per atom: 721
Polymorph energy (0 for the lowest one) in meV/atom: 620

abc: 9.9656 3.8192 5.1607
angles: 90.00 119.84 90.00
Space group C2/m (No. 12)
Asymmetric unit:
Tl1 0.2496 0.0000 0.2484
Fe1 0.0000 0.5000 0.0000
P1 0.0000 0.0000 0.5000

Entry 2:
The following is a GGA-PBE calculation of a relaxed TlFe2P crystal, from Alexandria via LeMat-Bulk.

Calculated values
Energy of formation from the pure elements in meV per atom: 567

abc: 3.7878 3.7878 8.5820
angles: 90.00 90.00 90.00
Space group I-4m2 (No. 119)
Asymmetric unit:
Tl1 0.0000 0.0000 0.0000
Fe1 0.0000 0.0000 0.5000
Fe2 0.0000 0.5000 0.7500
P1 0.0000 0.5000 0.2500

Entry 3:
The following is a GGA-PBE calculation of a relaxed Tl2FeP2 crystal, from Alexandria via LeMat-Bulk.

Calculated values
Energy of formation from the pure elements in meV per atom: 92

abc: 5.9139 5.9139 5.8204
angles: 90.00 90.00 90.00
Space group P4/mbm (No. 127)
Asymmetric unit:
Tl1 0.1948 0.3052 0.0000
Fe1 0.0000 0.0000 0.5000
P1 0.1360 0.6360 0.5000

Entry 4:
The following is a GGA-PBE calculation of a relaxed Tl2FeP crystal, from Alexandria via LeMat-Bulk.

Calculated values
Energy of formation from the pure elements in meV per atom: 957
Polymorph energy (0 for the lowest one) in meV/atom: 855

abc: 7.5919 7.5919 5.8403
angles: 90.00 90.00 90.00
Space group I-42d (No. 122)
Asymmetric unit:
Tl1 0.2412 0.7500 0.1250
Fe1 0.0000 0.0000 0.0000
P1 0.0000 0.0000 0.5000